[1]
Compound: TbY2In3Pt2
Source: the Open Quantum Materials Database
Functional: PBE
Structure: optimized geometry

Raw total energy: -5.619 eV/atom
Space group: Amm2, No. 38

Lattice parameters (Å, degrees): 3.6434 7.7129 7.7129 119.84 90.00 90.00
Last column: nearest neighbours and their distance in Å.
Sites, in units of the cell vectors:
In (0.5000, 0.9998, 0.2303)  2 Pt 3.05, 2 In 3.08, 4 Y 3.25-3.35, 2 Tb 3.36
Y (0.0000, 0.0000, 0.5795)  4 Pt 2.94-2.95, 2 In 3.25
Pt (0.5000, 0.3334, 0.6662)  2 Tb 2.94, 4 Y 2.94-2.95, 3 In 3.05
Y (0.0000, 0.5795, 0.0000)  4 Pt 2.94-2.95, 2 In 3.25
Tb (0.0000, 0.4210, 0.4210)  4 Pt 2.94, 2 In 3.26
In (0.5000, 0.7699, 0.7699)  2 Pt 3.05, 2 In 3.08, 2 Tb 3.26, 4 Y 3.35
In (0.5000, 0.2303, 0.9998)  2 Pt 3.05, 2 In 3.08, 4 Y 3.25-3.35, 2 Tb 3.36
Pt (0.5000, 0.6662, 0.3334)  2 Tb 2.94, 4 Y 2.94-2.95, 3 In 3.05

---

[2]
Compound: BaCoGe
Source: the Open Quantum Materials Database
Functional: PBE
Structure: optimized geometry

Raw total energy: -4.197 eV/atom
Space group: F-43m, No. 216

Lattice parameters (Å, degrees): 4.7264 4.7264 4.7264 60.00 60.00 60.00
Last column: nearest neighbours and their distance in Å.
Sites, in units of the cell vectors:
Ba (0.2500, 0.2500, 0.2500)  4 Co 2.89
Co (0.0000, 0.0000, 0.0000)  4 Ba 2.89, 4 Ge 2.89
Ge (0.7500, 0.7500, 0.7500)  4 Co 2.89

---

[3]
Compound: Na2TlW
Source: the Open Quantum Materials Database
Functional: PBE
Structure: optimized geometry

Raw total energy: -3.447 eV/atom
Space group: F-43m, No. 216

Lattice parameters (Å, degrees): 4.9832 4.9832 4.9832 60.00 60.00 60.00
Last column: nearest neighbours and their distance in Å.
Sites, in units of the cell vectors:
W (0.2500, 0.2500, 0.2500)  4 Tl 3.05, 4 Na 3.05
Na (0.0000, 0.0000, 0.0000)  4 Na 3.05, 4 W 3.05
Tl (0.5000, 0.5000, 0.5000)  4 W 3.05, 4 Na 3.05
Na (0.7500, 0.7500, 0.7500)  4 Tl 3.05, 4 Na 3.05

---

[4]
Compound: RbGeAu
Source: the Open Quantum Materials Database
Functional: PBE
Structure: optimized geometry

Relative energy among the computed polymorphs: 3.30 eV per formula unit
Space group: F-43m, No. 216

Lattice parameters (Å, degrees): 5.3219 5.3219 5.3219 60.00 60.00 60.00
Last column: nearest neighbours and their distance in Å.
Sites, in units of the cell vectors:
Rb (0.0000, 0.0000, 0.0000)  4 Ge 3.26, 4 Au 3.26
Au (0.2500, 0.2500, 0.2500)  4 Rb 3.26
Ge (0.7500, 0.7500, 0.7500)  4 Rb 3.26

---

[5]
Compound: BeFeTcB
Source: the Open Quantum Materials Database
Functional: PBE
Structure: optimized geometry

Relative energy among the computed polymorphs: 0.00 eV per formula unit
Space group: F-43m, No. 216

Lattice parameters (Å, degrees): 3.7922 3.7922 3.7922 60.00 60.00 60.00
Last column: nearest neighbours and their distance in Å.
Sites, in units of the cell vectors:
Be (0.5000, 0.5000, 0.5000)  4 Tc 2.32, 4 Fe 2.32
Fe (0.7500, 0.7500, 0.7500)  4 B 2.32, 4 Be 2.32
Tc (0.2500, 0.2500, 0.2500)  4 Be 2.32, 4 B 2.32
B (0.0000, 0.0000, 0.0000)  4 Tc 2.32, 4 Fe 2.32

---

[6]
Compound: SrBiPtAu
Source: the Open Quantum Materials Database
Functional: PBE
Structure: optimized geometry

Relative energy among the computed polymorphs: 0.57 eV per formula unit
Space group: F-43m, No. 216

Lattice parameters (Å, degrees): 5.0927 5.0927 5.0927 60.00 60.00 60.00
Last column: nearest neighbours and their distance in Å.
Sites, in units of the cell vectors:
Pt (0.5000, 0.5000, 0.5000)  4 Bi 3.12, 4 Au 3.12
Au (0.7500, 0.7500, 0.7500)  4 Sr 3.12, 4 Pt 3.12
Sr (0.0000, 0.0000, 0.0000)  4 Au 3.12, 4 Bi 3.12
Bi (0.2500, 0.2500, 0.2500)  4 Pt 3.12, 4 Sr 3.12

---

[7]
Compound: Hf2SiSnPd2
Source: the Open Quantum Materials Database
Functional: PBE
Structure: optimized geometry

Raw total energy: -7.326 eV/atom
Space group: Pm, No. 6

Lattice parameters (Å, degrees): 10.7428 4.3860 10.7531 90.00 109.51 90.00
Last column: nearest neighbours and their distance in Å.
Sites, in units of the cell vectors:
Sn (0.6241, 0.5000, 0.6254)  4 Pd 2.69-2.75
Sn (0.3750, 0.5000, 0.8753)  4 Pd 2.72-2.76
Hf (0.5046, 0.0000, 0.7513)  4 Pd 2.68-2.75
Si (0.1261, 0.5000, 0.1275)  4 Pd 2.62-2.65
Pd (0.1300, 0.5000, 0.3723)  4 Hf 2.59-2.68, 3 Si 2.62-2.67, 1 Sn 2.76
Hf (0.8802, 0.5000, 0.8862)  4 Pd 2.63-2.79
Hf (0.1282, 0.5000, 0.6184)  4 Pd 2.65-2.75
Pd (0.3733, 0.5000, 0.1313)  4 Hf 2.59-2.69, 3 Si 2.64-2.66, 1 Sn 2.76
Hf (0.2512, 0.0000, 0.0076)  4 Pd 2.67-2.88
Si (0.7517, 0.0000, 0.0023)  4 Pd 2.60-2.68
Si (0.4976, 0.0000, 0.2492)  4 Pd 2.63-2.66
Sn (0.8736, 0.5000, 0.3724)  4 Pd 2.71-2.76
Pd (0.8745, 0.5000, 0.6249)  4 Sn 2.69-2.71, 4 Hf 2.73-2.79
Hf (0.7426, 0.0000, 0.4933)  4 Pd 2.71-2.73, 1 Si 3.03
Hf (0.3706, 0.5000, 0.3715)  4 Pd 2.59-2.65
Sn (0.0016, 0.0000, 0.7518)  4 Pd 2.70-2.78
Hf (0.6212, 0.5000, 0.1245)  4 Pd 2.63-2.69
Pd (0.6350, 0.5000, 0.8845)  4 Hf 2.63-2.74, 2 Si 2.63, 2 Sn 2.75-2.76
Pd (0.2521, 0.0000, 0.7405)  1 Si 2.60, 4 Hf 2.67-2.88, 3 Sn 2.72-2.73
Hf (0.0027, 0.0000, 0.2505)  4 Pd 2.58-2.78
Pd (0.0035, 0.0000, 0.0106)  4 Hf 2.58-2.68, 3 Si 2.65-2.68, 1 Sn 2.78
Si (0.2503, 0.0000, 0.4979)  4 Pd 2.60-2.67
Pd (0.7407, 0.0000, 0.2401)  2 Si 2.60-2.65, 4 Hf 2.63-2.78, 2 Sn 2.74
Pd (0.4897, 0.0000, 0.4911)  2 Si 2.60-2.63, 4 Hf 2.65-2.75, 2 Sn 2.75

---

[8]
Compound: DyYHg2
Source: the Open Quantum Materials Database
Functional: PBE
Structure: optimized geometry

Relative energy among the computed polymorphs: 0.80 eV per formula unit
DFT formation energy: -0.297 eV/atom
Space group: Ama2, No. 40

Lattice parameters (Å, degrees): 5.4833 6.8569 6.8569 125.04 90.00 90.00
Last column: nearest neighbours and their distance in Å.
Sites, in units of the cell vectors:
Y (0.7500, 0.8699, 0.7096)  5 Hg 3.09-3.36, 2 Y 3.37, 1 Dy 3.39
Hg (0.7500, 0.7922, 0.1503)  4 Dy 3.11-3.40, 1 Hg 3.17, 3 Y 3.21-3.36
Hg (0.7500, 0.3583, 0.1972)  2 Y 3.09-3.24, 3 Dy 3.10-3.12, 3 Hg 3.17-3.37
Hg (0.2500, 0.1972, 0.3583)  2 Y 3.09-3.24, 3 Dy 3.10-3.12, 3 Hg 3.17-3.37
Dy (0.2500, 0.6174, 0.3052)  7 Hg 3.10-3.40, 1 Y 3.39
Hg (0.2500, 0.1503, 0.7922)  4 Dy 3.11-3.40, 1 Hg 3.17, 3 Y 3.21-3.36
Dy (0.7500, 0.3052, 0.6174)  7 Hg 3.10-3.40, 1 Y 3.39
Y (0.2500, 0.7096, 0.8699)  5 Hg 3.09-3.36, 2 Y 3.37, 1 Dy 3.39

---

[9]
Compound: CdCuTcAs
Source: the Open Quantum Materials Database
Functional: PBE
Structure: optimized geometry

Relative energy among the computed polymorphs: 0.00 eV per formula unit
Space group: F-43m, No. 216

Lattice parameters (Å, degrees): 4.4735 4.4735 4.4735 60.00 60.00 60.00
Last column: nearest neighbours and their distance in Å.
Sites, in units of the cell vectors:
Cd (0.5000, 0.5000, 0.5000)  4 Tc 2.74, 4 Cu 2.74
As (0.0000, 0.0000, 0.0000)  4 Cu 2.74, 4 Tc 2.74
Cu (0.7500, 0.7500, 0.7500)  4 As 2.74, 4 Cd 2.74
Tc (0.2500, 0.2500, 0.2500)  4 Cd 2.74, 4 As 2.74

---

[10]
Compound: ErReB
Source: the Open Quantum Materials Database
Functional: PBE
Structure: optimized geometry

Relative energy among the computed polymorphs: 0.00 eV per formula unit
Space group: F-43m, No. 216

Lattice parameters (Å, degrees): 4.0776 4.0776 4.0776 60.00 60.00 60.00
Last column: nearest neighbours and their distance in Å.
Sites, in units of the cell vectors:
Er (0.2500, 0.2500, 0.2500)  4 B 2.50
Re (0.7500, 0.7500, 0.7500)  4 B 2.50
B (0.0000, 0.0000, 0.0000)  4 Re 2.50, 4 Er 2.50

---

[11]
Compound: Na4Ga2NiPt
Source: the Open Quantum Materials Database
Functional: PBE
Structure: optimized geometry

Raw total energy: -2.878 eV/atom
Space group: P-4m2, No. 115

Lattice parameters (Å, degrees): 4.6655 4.6655 6.5942 90.00 90.00 90.00
Last column: nearest neighbours and their distance in Å.
Sites, in units of the cell vectors:
Na (0.5000, 0.5000, 0.0000)  4 Na 2.83, 4 Ga 2.84
Ga (0.5000, 0.0000, 0.2466)  4 Na 2.84-2.87, 2 Ni 2.84, 2 Pt 2.87
Ga (0.0000, 0.5000, 0.7534)  4 Na 2.84-2.87, 2 Ni 2.84, 2 Pt 2.87
Pt (0.5000, 0.5000, 0.5000)  4 Ga 2.87, 4 Na 2.88
Ni (0.0000, 0.0000, 0.0000)  4 Na 2.83, 4 Ga 2.84
Na (0.0000, 0.5000, 0.2439)  4 Na 2.83-2.88, 2 Ni 2.83, 2 Pt 2.88
Na (0.5000, 0.0000, 0.7561)  4 Na 2.83-2.88, 2 Ni 2.83, 2 Pt 2.88
Na (0.0000, 0.0000, 0.5000)  4 Ga 2.87, 4 Na 2.88

---

[12]
Compound: CdBiB
Source: the Open Quantum Materials Database
Functional: PBE
Structure: optimized geometry

Relative energy among the computed polymorphs: 0.00 eV per formula unit
Space group: F-43m, No. 216

Lattice parameters (Å, degrees): 4.7679 4.7679 4.7679 60.00 60.00 60.00
Last column: nearest neighbours and their distance in Å.
Sites, in units of the cell vectors:
B (0.2500, 0.2500, 0.2500)  4 Bi 2.92
Bi (0.0000, 0.0000, 0.0000)  4 Cd 2.92, 4 B 2.92
Cd (0.7500, 0.7500, 0.7500)  4 Bi 2.92

---

Calculated theoretical density in order - 9.5, 6.0, 8.2, 5.5, 7.5, 12.2, 10.0, 10.3, 9.2, 12.6, 5.6, 7.2 g cm⁻³